# CuBPb

An optimized crystal structure of CuBPb (PBE-GGA, Alexandria via LeMat-Bulk).

Density: 8662 kg/m3
Formation energy from the elements: 0.586 eV/atom
Total energy: -4.241 eV/atom
Space group: No. 62

a = 9.508 Å, b = 3.862 Å, c = 5.880 Å
α = 90.00°, β = 90.00°, γ = 90.00°
Fractional positions:
Pb (0.659, 0.250, 0.043)
Pb (0.341, 0.750, 0.957)
Pb (0.159, 0.250, 0.457)
B (0.928, 0.250, 0.201)
B (0.072, 0.750, 0.799)
B (0.572, 0.750, 0.701)
B (0.428, 0.250, 0.299)
Cu (0.042, 0.250, 0.895)
Pb (0.841, 0.750, 0.543)
Cu (0.958, 0.750, 0.105)
Cu (0.458, 0.750, 0.395)
Cu (0.542, 0.250, 0.605)